Record 1
# La3Th2Tc2 PBE-GGA optimized geometry
data_La3Th2Tc2
_cell_length_a 4.0484
_cell_length_b 6.5985
_cell_length_c 8.6153
_cell_angle_alpha 70.98
_cell_angle_beta 89.96
_cell_angle_gamma 72.16
_space_group_name_H-M_alt 'P -1'
_space_group_IT_number 2
_space_group_name_Hall '-P 1'
loop_
_atom_site_label
_atom_site_type_symbol
_atom_site_fract_x
_atom_site_fract_y
_atom_site_fract_z
La1 La 0.0000 0.0000 0.0000
La2 La 0.1242 0.7533 0.4223
Th1 Th 0.3285 0.3421 0.1826
Tc1 Tc 0.3122 0.3769 0.8010
# Total magnetic moment: 0.0 μB per formula unit
# Electronic total energy: -50.77 eV/cell
# Energy of formation: -0.059 eV per atom

---

Record 2
# LaThZnTc PBE-GGA optimized geometry
data_LaThZnTc
_cell_length_a 7.2685
_cell_length_b 7.2685
_cell_length_c 7.2685
_cell_angle_alpha 90.00
_cell_angle_beta 90.00
_cell_angle_gamma 90.00
_space_group_name_H-M_alt 'F -4 3 m'
_space_group_IT_number 216
_space_group_name_Hall 'F -4 2 3'
loop_
_atom_site_label
_atom_site_type_symbol
_atom_site_fract_x
_atom_site_fract_y
_atom_site_fract_z
La1 La 0.0000 0.0000 0.0000
Th1 Th 0.0000 0.0000 0.5000
Zn1 Zn 0.2500 0.2500 0.2500
Tc1 Tc 0.2500 0.2500 0.7500
# Total magnetic moment: 0.0 μB per formula unit
# Electronic total energy: -96.65 eV/cell
# Energy of formation: -0.044 eV per atom

---

Record 3
# La2TiTc PBE-GGA optimized geometry
data_La2TiTc
_cell_length_a 10.3805
_cell_length_b 10.3805
_cell_length_c 4.7845
_cell_angle_alpha 90.00
_cell_angle_beta 90.00
_cell_angle_gamma 90.00
_space_group_name_H-M_alt 'I -4 2 d'
_space_group_IT_number 122
_space_group_name_Hall 'I -4 2bw'
loop_
_atom_site_label
_atom_site_type_symbol
_atom_site_fract_x
_atom_site_fract_y
_atom_site_fract_z
La1 La 0.0942 0.7500 0.1250
Ti1 Ti 0.0000 0.0000 0.5000
Tc1 Tc 0.0000 0.0000 0.0000
# Energy relative to the lowest polymorph listed for this composition: 58 meV per atom
# Total magnetic moment: 0.7 μB per formula unit
# Electronic total energy: -105.19 eV/cell
# Energy of formation: 0.455 eV per atom

---

Record 4
# LaTiTc3 PBE-GGA optimized geometry
data_LaTiTc3
_cell_length_a 4.7136
_cell_length_b 4.7136
_cell_length_c 4.7136
_cell_angle_alpha 90.00
_cell_angle_beta 90.00
_cell_angle_gamma 90.00
_space_group_name_H-M_alt 'P m -3 m'
_space_group_IT_number 221
_space_group_name_Hall '-P 4 2 3'
loop_
_atom_site_label
_atom_site_type_symbol
_atom_site_fract_x
_atom_site_fract_y
_atom_site_fract_z
La1 La 0.0000 0.0000 0.0000
Ti1 Ti 0.5000 0.5000 0.5000
Tc1 Tc 0.0000 0.0000 0.5000
# Energy relative to the lowest polymorph listed for this composition: 1169 meV per atom
# Total magnetic moment: 0.0 μB per formula unit
# Electronic total energy: -34.38 eV/cell
# Energy of formation: 1.909 eV per atom